No. 1
Material: Ba2MgSe
Method: DFT, PBE-GGA
State: relaxed

Results
Space group ... I-42d, No. 122
Offset from the most stable computed form ... 168 meV/atom
Energy ... -2.942 eV/atom

POSCAR file:
```
Ba2MgSe
1.0
9.114 0.000 0.000
0.000 9.114 0.000
0.000 0.000 8.966
Ba Mg Se
8 4 4
Direct
0.204 0.250 0.125 Ba
0.250 0.704 0.375 Ba
0.250 0.796 0.875 Ba
0.296 0.250 0.625 Ba
0.704 0.750 0.625 Ba
0.750 0.204 0.875 Ba
0.750 0.296 0.375 Ba
0.796 0.750 0.125 Ba
0.000 0.000 0.500 Mg
0.000 0.500 0.750 Mg
0.500 0.000 0.250 Mg
0.500 0.500 0.000 Mg
0.000 0.000 0.000 Se
0.000 0.500 0.250 Se
0.500 0.000 0.750 Se
0.500 0.500 0.500 Se
```

=====

No. 2
Material: Tl2PtCl4
Method: DFT, PBE-GGA
State: relaxed

Results
Space group ... I4/mmm, No. 139
Energy ... -3.297 eV/atom

POSCAR file:
```
Tl2PtCl4
1.0
5.096 0.000 0.000
0.000 5.096 0.000
0.000 0.000 15.488
Tl Pt Cl
4 2 8
Direct
0.000 0.000 0.136 Tl
0.000 0.000 0.864 Tl
0.500 0.500 0.364 Tl
0.500 0.500 0.636 Tl
0.000 0.000 0.500 Pt
0.500 0.500 0.000 Pt
0.000 0.000 0.346 Cl
0.000 0.000 0.654 Cl
0.000 0.500 0.000 Cl
0.000 0.500 0.500 Cl
0.500 0.000 0.000 Cl
0.500 0.000 0.500 Cl
0.500 0.500 0.154 Cl
0.500 0.500 0.846 Cl
```

=====

no.,Fermi-level density of states (states/eV/atom),raw formation energy (eV/atom)
1,0.565,-0.71
2,0.074,-0.70